(1)
A plane-wave DFT calculation with PBE was carried out for a relaxed structure of MgZn2Sb.

Formation energy from raw total energies (meV/atom): 16
Magnetization (μB/cell): 0.00
Space-group type: P2/m, No. 10
Energy (eV/cell): -8.20

a = 4.3106 Å, b = 3.2330 Å, c = 6.1089 Å
α = 90.18°, β = 90.00°, γ = 90.00°
Closest atoms and distances in Å follow each position.
Atoms (fractional coordinates):
1 Mg 0.5000 0.2500 0.2500  8 Zn 2.97-2.98, 2 Mg 3.23
2 Sb 0.5000 0.7500 0.7500  4 Zn 2.80
3 Zn 0.0000 0.7495 0.0435  1 Zn 2.52, 2 Sb 2.80
4 Zn 0.0000 0.7505 0.4565  1 Zn 2.52, 2 Sb 2.80



(2)
A plane-wave DFT calculation with PBE was carried out for a relaxed structure of KMnW2.

Formation enthalpy at 0 K (eV/atom): 1.11
Magnetization (μB/cell): 0.00
Polymorph energy (0 for the lowest one) (eV/atom): 0.2833
Space-group type: Cm, No. 8
Energy (eV/cell): -31.72

a = 4.7932 Å, b = 4.7932 Å, c = 7.1552 Å
α = 84.37°, β = 84.37°, γ = 36.54°
Closest atoms and distances in Å follow each position.
Atoms (fractional coordinates):
1 K 0.5074 0.5074 0.4947  2 K 3.01
2 Mn 0.2722 0.2722 0.1050  4 W 2.27-2.53
3 W 0.9923 0.9923 0.0212  3 Mn 2.53-2.68, 3 W 2.71-2.73
4 W 0.7282 0.7282 0.8791  2 Mn 2.27